Material: Tl2ZnAgSb2
Method: DFT, GGA-PBE
State: relaxed

Space group = No. 72
Formation energy without anion corrections = -0.7 kJ/mol of atoms
V = 27.4 Å³ per atom

Cell: 6.243 6.263 9.509 Å, 109.23 109.16 90.00°
Sites, in units of the cell vectors:
Tl (0.411, 0.179, 0.357)
Tl (0.589, 0.821, 0.643)
Tl (0.054, 0.321, 0.643)
Tl (0.946, 0.679, 0.357)
Zn (0.500, 0.750, 0.000)
Zn (0.500, 0.250, 0.000)
Ag (0.000, 0.750, 0.000)
Ag (0.000, 0.250, 0.000)
Sb (0.839, 0.107, 0.214)
Sb (0.374, 0.607, 0.214)
Sb (0.626, 0.393, 0.786)
Sb (0.161, 0.893, 0.786)

---

Material: Mg15In4Ga
Method: DFT, GGA-PBE
State: relaxed

Space group = No. 123
ΔE_f = -0.075 eV/atom
V = 22.3 Å³ per atom

Cell: 4.526 4.526 21.741 Å, 90.00 90.00 90.00°
Sites, in units of the cell vectors:
Mg (0.500, 0.500, 0.000)
Mg (0.500, 0.500, 0.196)
Mg (0.500, 0.500, 0.399)
Mg (0.500, 0.500, 0.601)
Mg (0.500, 0.500, 0.804)
Mg (0.500, 0.000, 0.095)
Mg (0.500, 0.000, 0.297)
Mg (0.500, 0.000, 0.500)
Mg (0.500, 0.000, 0.703)
Mg (0.500, 0.000, 0.905)
Mg (0.000, 0.500, 0.095)
Mg (0.000, 0.500, 0.297)
Mg (0.000, 0.500, 0.500)
Mg (0.000, 0.500, 0.703)
Mg (0.000, 0.500, 0.905)
In (0.000, 0.000, 0.196)
In (0.000, 0.000, 0.399)
In (0.000, 0.000, 0.601)
In (0.000, 0.000, 0.804)
Ga (0.000, 0.000, 0.000)

---

Material: Pm2Ho8Th3
Method: DFT, GGA-PBE
State: relaxed

Space group = No. 71
ΔE_f = 0.163 eV/atom
V = 32.6 Å³ per atom

Cell: 5.620 6.768 11.975 Å, 106.41 103.56 90.00°
Sites, in units of the cell vectors:
Pm (0.725, 0.724, 0.449)
Pm (0.275, 0.276, 0.551)
Ho (0.424, 0.425, 0.849)
Ho (0.576, 0.575, 0.151)
Ho (0.321, 0.821, 0.642)
Ho (0.679, 0.179, 0.358)
Ho (0.149, 0.889, 0.297)
Ho (0.149, 0.408, 0.297)
Ho (0.851, 0.592, 0.703)
Ho (0.851, 0.111, 0.703)
Th (0.500, 0.000, 0.000)
Th (0.000, 0.268, 0.000)
Th (0.000, 0.732, 0.000)

---

Material: Tl4Hg4Te
Method: DFT, GGA-PBE
State: relaxed

Space group = No. 87
Formation energy without anion corrections = -7.4 kJ/mol of atoms
V = 30.8 Å³ per atom

Cell: 4.192 8.402 8.402 Å, 86.43 75.55 75.55°
Sites, in units of the cell vectors:
Tl (0.172, 0.181, 0.976)
Tl (0.828, 0.819, 0.024)
Tl (0.853, 0.476, 0.319)
Tl (0.147, 0.524, 0.681)
Hg (0.526, 0.132, 0.316)
Hg (0.474, 0.868, 0.684)
Hg (0.158, 0.816, 0.368)
Hg (0.842, 0.184, 0.632)
Te (0.500, 0.500, 0.000)

---

Material: ZnIr2Pt
Method: DFT, GGA-PBE
State: relaxed

Space group = No. 123
ΔE_f = -0.036 eV/atom
V = 14.7 Å³ per atom

Cell: 3.862 3.862 3.941 Å, 90.00 90.00 90.00°
Sites, in units of the cell vectors:
Ir (0.000, 0.000, 0.000)
Ir (0.500, 0.500, 0.000)
Pt (0.500, 0.000, 0.500)
Zn (0.000, 0.500, 0.500)

---

Material: Nb2ZnAu2
Method: DFT, GGA-PBE
State: relaxed

Space group = No. 127
ΔE_f = 0.234 eV/atom
V = 19.3 Å³ per atom
E above lowest polymorph = 0.0427 eV/atom

Cell: 8.153 8.153 2.904 Å, 90.00 90.00 90.00°
Sites, in units of the cell vectors:
Nb (0.377, 0.877, 0.000)
Nb (0.877, 0.623, 0.000)
Nb (0.623, 0.123, 0.000)
Nb (0.123, 0.377, 0.000)
Au (0.171, 0.671, 0.500)
Au (0.671, 0.829, 0.500)
Au (0.829, 0.329, 0.500)
Au (0.329, 0.171, 0.500)
Zn (0.000, 0.000, 0.000)
Zn (0.500, 0.500, 0.000)

---

Material: SrCa2Zn
Method: DFT, GGA-PBE
State: relaxed

Space group = No. 122
ΔE_f = 0.037 eV/atom
V = 38.8 Å³ per atom

Cell: 9.498 9.498 7.548 Å, 51.01 51.01 90.00°
Sites, in units of the cell vectors:
Sr (0.000, 0.000, 0.000)
Sr (0.750, 0.250, 0.500)
Zn (0.500, 0.500, 0.000)
Zn (0.250, 0.750, 0.500)
Ca (0.545, 0.125, 0.250)
Ca (0.205, 0.625, 0.250)
Ca (0.375, 0.455, 0.750)
Ca (0.875, 0.795, 0.750)

---

Material: Dy2BiPd2
Method: DFT, GGA-PBE
State: relaxed

Space group = No. 127
ΔE_f = -0.881 eV/atom
V = 23.0 Å³ per atom

Cell: 3.717 7.868 7.868 Å, 90.00 90.00 90.00°
Sites, in units of the cell vectors:
Dy (0.500, 0.171, 0.671)
Dy (0.500, 0.671, 0.829)
Dy (0.500, 0.829, 0.329)
Dy (0.500, 0.329, 0.171)
Bi (0.000, 0.000, 0.000)
Bi (0.000, 0.500, 0.500)
Pd (0.000, 0.375, 0.875)
Pd (0.000, 0.875, 0.625)
Pd (0.000, 0.625, 0.125)
Pd (0.000, 0.125, 0.375)

---

Material: TlTe3
Method: DFT, GGA-PBE
State: relaxed

Space group = No. 166
Formation energy without anion corrections = -0.4 kJ/mol of atoms
V = 33.8 Å³ per atom

Cell: 7.504 7.504 7.504 Å, 36.71 36.71 36.71°
Sites, in units of the cell vectors:
Te (0.756, 0.756, 0.756)
Te (0.500, 0.500, 0.500)
Te (0.244, 0.244, 0.244)
Tl (0.000, 0.000, 0.000)

---

Material: PaTi2H8
Method: DFT, GGA-PBE
State: relaxed

Space group = No. 123
V = 8.8 Å³ per atom

Cell: 4.319 4.319 5.170 Å, 90.00 90.00 90.00°
Sites, in units of the cell vectors:
Pa (0.500, 0.500, 0.500)
Ti (0.500, 0.000, 0.000)
Ti (0.000, 0.500, 0.000)
H (0.766, 0.766, 0.219)
H (0.766, 0.234, 0.781)
H (0.766, 0.766, 0.781)
H (0.766, 0.234, 0.219)
H (0.234, 0.766, 0.219)
H (0.234, 0.766, 0.781)
H (0.234, 0.234, 0.219)
H (0.234, 0.234, 0.781)

---

Material: Pr2Pd5Au5
Method: DFT, GGA-PBE
State: relaxed

Space group = No. 47
ΔE_f = -0.556 eV/atom
V = 20.0 Å³ per atom
E above lowest polymorph = 0.0000 eV/atom

Cell: 4.614 5.484 9.490 Å, 90.00 90.00 90.00°
Sites, in units of the cell vectors:
Pr (0.000, 0.500, 0.000)
Pr (0.000, 0.000, 0.500)
Pd (0.000, 0.500, 0.334)
Pd (0.000, 0.000, 0.837)
Pd (0.000, 0.000, 0.163)
Pd (0.000, 0.500, 0.666)
Pd (0.500, 0.000, 0.000)
Au (0.500, 0.500, 0.500)
Au (0.500, 0.750, 0.247)
Au (0.500, 0.250, 0.753)
Au (0.500, 0.250, 0.247)
Au (0.500, 0.750, 0.753)

---

Material: SmHSe
Method: DFT, GGA-PBE
State: relaxed

Space group = No. 216
V = 23.0 Å³ per atom

Cell: 4.601 4.601 4.601 Å, 60.00 60.00 60.00°
Sites, in units of the cell vectors:
H (0.500, 0.500, 0.500)
Se (0.000, 0.000, 0.000)
Sm (0.250, 0.250, 0.250)

---

The records above yield raw total energy values of -2.8572, -1.9700, -5.0972, -1.6120, -6.2954, -5.3595, -1.7025, -5.5748, -2.9522, -4.9978, -4.8814, -4.9162 eV/atom, respectively.